Density functional theory data (GGA+U) for an optimized crystal structure of PmMn2WO8.

- V: 12.35 A^3/atom
- Raw total energy: -7.51 eV/atom
- DOS at the Fermi energy: 2.2 states/eV/cell

a b c (Å): 4.722 4.723 6.664
angles (deg): 92.43 92.44 87.90
Last column: magnetic moment on the atom in μB.
Positions (direct):
Pm (0.000, 0.000, 0.500)  0.00
Mn (0.508, 0.508, 0.758)  3.79
Mn (0.492, 0.492, 0.242)  3.79
W (0.000, 0.000, 0.000)  0.11
O (0.205, 0.799, 0.213)  -0.05
O (0.709, 0.708, 0.986)  -0.06
O (0.799, 0.204, 0.213)  -0.05
O (0.795, 0.201, 0.787)  -0.05
O (0.291, 0.292, 0.014)  -0.06
O (0.201, 0.796, 0.787)  -0.05
O (0.668, 0.667, 0.483)  -0.26
O (0.332, 0.333, 0.517)  -0.26